# Tb2Ho3Au2

Crystalline Tb2Ho3Au2 at its relaxed geometry (GGA-PBE, the Alexandria database).

Geometry as POSCAR:
```
Tb2Ho3Au2
1.0
-0.268 1.482 3.380
5.723 -3.286 -0.131
0.288 8.387 -3.655
Ho Tb Au
3 2 2
Direct
0.500 0.000 0.000 Ho
0.387 0.773 0.556 Ho
0.613 0.227 0.444 Ho
0.849 0.697 0.187 Tb
0.151 0.303 0.813 Tb
0.830 0.659 0.769 Au
0.170 0.341 0.231 Au
```

Spin magnetization in μB/cell: 0.000
Crystal system: monoclinic
Space-group type: C2/m (12)
Theoretical density in g cm⁻³: 10.4
Formation enthalpy at 0 K in eV/atom: -0.505